# Li2AcAu6 PBE optimized geometry
# Total energy ... -3.53 eV/atom
# E_form ... -460 meV/atom
data_Li2AcAu6
_space_group_name_H-M_alt 'P 6/m m m'
_space_group_IT_number 191
_space_group_name_Hall '-P 6 2'
_cell_length_a 5.5878
_cell_length_b 5.5878
_cell_length_c 7.8070
_cell_angle_alpha 90.00
_cell_angle_beta 90.00
_cell_angle_gamma 120.00
loop_
_atom_site_label
_atom_site_type_symbol
_atom_site_fract_x
_atom_site_fract_y
_atom_site_fract_z
Li1 Li 0.3333 0.6667 0.0000
Ac1 Ac 0.0000 0.0000 0.5000
Au1 Au 0.0000 0.5000 0.2801

# LiAc3Au2 PBE optimized geometry
# Total energy ... -3.93 eV/atom
# E_form ... -462 meV/atom
data_LiAc3Au2
_space_group_name_H-M_alt 'R -3 c'
_space_group_IT_number 167
_space_group_name_Hall '-R 3 2"c'
_cell_length_a 8.5424
_cell_length_b 8.5424
_cell_length_c 19.1617
_cell_angle_alpha 90.00
_cell_angle_beta 90.00
_cell_angle_gamma 120.00
loop_
_atom_site_label
_atom_site_type_symbol
_atom_site_fract_x
_atom_site_fract_y
_atom_site_fract_z
Li1 Li 0.0000 0.0000 0.0000
Ac1 Ac 0.0000 0.2869 0.2500
Au1 Au 0.0000 0.0000 0.1371